Compound: Tb6Te5As
Source: Alexandria
Functional: PBE
Structure: relaxed

extended XYZ file:
```
12
Lattice="3.7596 -6.5197 0.0000 3.7596 6.5197 0.0000 -2.4899 0.0000 7.0940" Properties=species:S:1:pos:R:3 pbc="T T T"
Tb -0.0981 1.9983 5.1744
Tb 1.0419 0.0000 1.8635
Tb -0.0981 -1.9983 5.1744
Tb 5.1274 1.9983 1.9196
Tb 3.9874 0.0000 5.2305
Tb 5.1274 -1.9983 1.9196
Te 3.7596 4.2333 0.0000
Te 2.5147 2.1469 3.5470
Te 3.7596 0.0000 0.0000
Te 2.5147 -2.1469 3.5470
Te 3.7596 -4.2333 0.0000
As -1.2450 0.0000 3.5470
```

## Properties
Symmetry: C2/m (12)
E_form (uncorrected): -1.3917 eV per atom
Total DFT energy (no corrections): -5.4033 eV/atom